Entry 1:
The following is a DFT calculation (PBE-GGA) of a relaxed structure of Np3Tl3CuS8.

* SG: C2/m, No. 12
* formation energy from raw total energies: -12.841 eV/f.u.
* size of the total moment: 8.99 μB/cell
* D(E_F): 27.166 states/eV/f.u.
* ρ: 6.79 Mg/m³

a b c (Å): 7.8193 7.8193 8.8243
angles (deg): 116.27 116.27 60.07
Last column: nearest neighbours and their distance in Å.
Element x y z (fractional)
Np: 0.0000 0.0000 0.0000  6 S 2.67-2.71
Np: 0.0000 0.5000 0.0000  6 S 2.67-2.71
Np: 0.5000 0.0000 0.0000  6 S 2.67-2.71
Tl: 0.0000 0.5000 0.5000  6 S 3.22-3.27
Tl: 0.5000 0.0000 0.5000  6 S 3.22-3.27
Tl: 0.5000 0.5000 0.5000  6 S 3.21-3.27
Cu: 0.5000 0.5000 0.0000  6 S 2.65-2.67
S: 0.2299 0.7290 0.1876  1 Cu 2.67, 2 Np 2.67
S: 0.2328 0.2328 0.1983  3 Np 2.71
S: 0.2710 0.7701 0.8124  1 Cu 2.67, 2 Np 2.67
S: 0.2724 0.2724 0.8134  1 Cu 2.65, 2 Np 2.67
S: 0.7276 0.7276 0.1866  1 Cu 2.65, 2 Np 2.67
S: 0.7290 0.2299 0.1876  1 Cu 2.67, 2 Np 2.67
S: 0.7672 0.7672 0.8017  3 Np 2.71
S: 0.7701 0.2710 0.8124  1 Cu 2.67, 2 Np 2.67


Entry 2:
The following is a DFT calculation (PBE-GGA) of a relaxed structure of NpTl2CuS4.

* SG: P2/m, No. 10
* formation energy from raw total energies: -4.958 eV/f.u.
* size of the total moment: 1.99 μB/cell
* D(E_F): 5.612 states/eV/f.u.
* ρ: 7.34 Mg/m³

a b c (Å): 6.1593 4.0474 7.9063
angles (deg): 90.00 106.03 90.00
Last column: nearest neighbours and their distance in Å.
Element x y z (fractional)
Np: 0.0000 0.0000 0.0000  6 S 2.52-2.70
Tl: 0.0000 0.5000 0.5000  6 S 3.16-3.30
Tl: 0.5000 0.0000 0.5000  6 S 3.13-3.27
Cu: 0.5000 0.5000 0.0000  2 S 2.37
S: 0.2512 0.0000 0.7960  1 Np 2.52, 2 Cu 2.77
S: 0.2505 0.5000 0.1807  1 Cu 2.37
S: 0.7488 0.0000 0.2040  1 Np 2.52, 2 Cu 2.77
S: 0.7495 0.5000 0.8193  1 Cu 2.37


Entry 3:
The following is a DFT calculation (PBE-GGA) of a relaxed structure of Np2Tl2CuS6.

* SG: C2/m, No. 12
* formation energy from raw total energies: -9.035 eV/f.u.
* size of the total moment: 5.00 μB/cell
* D(E_F): 18.478 states/eV/f.u.
* ρ: 6.19 Mg/m³

a b c (Å): 7.0399 7.0399 7.7623
angles (deg): 96.59 96.59 124.95
Last column: nearest neighbours and their distance in Å.
Element x y z (fractional)
Np: 0.1621 0.8379 0.0000  6 S 2.61-2.70
Np: 0.8379 0.1621 0.0000  6 S 2.61-2.70
Tl: 0.3503 0.6497 0.5000  6 S 3.14-3.32
Tl: 0.6497 0.3503 0.5000  6 S 3.14-3.32
Cu: 0.5000 0.5000 0.0000  2 S 2.25
S: 0.0622 0.4497 0.7943  2 Np 2.61-2.66
S: 0.2527 0.2527 0.1578  1 Cu 2.25
S: 0.4497 0.0622 0.7943  2 Np 2.61-2.66
S: 0.5503 0.9378 0.2057  2 Np 2.61-2.66
S: 0.7473 0.7473 0.8422  1 Cu 2.25
S: 0.9378 0.5503 0.2057  2 Np 2.61-2.66


Entry 4:
The following is a DFT calculation (PBE-GGA) of a relaxed structure of Np2TlCuS4.

* SG: Cmcm, No. 63
* formation energy from raw total energies: -8.137 eV/f.u.
* size of the total moment: 16.00 μB/cell
* D(E_F): 18.681 states/eV/f.u.
* ρ: 7.76 Mg/m³

a b c (Å): 7.1257 7.1257 13.6828
angles (deg): 90.00 90.00 147.59
Last column: nearest neighbours and their distance in Å.
Element x y z (fractional)
Np: 0.1321 0.8679 0.5589  6 S 2.73-2.81
Np: 0.1321 0.8679 0.9411  6 S 2.73-2.81
Np: 0.8679 0.1321 0.0589  6 S 2.73-2.81
Np: 0.8679 0.1321 0.4411  6 S 2.73-2.81
Tl: 0.3938 0.6062 0.7500  6 S 3.17-3.32
Tl: 0.6062 0.3938 0.2500  6 S 3.17-3.32
Cu: 0.3336 0.6664 0.2500  4 S 2.32-2.35
Cu: 0.6664 0.3336 0.7500  4 S 2.32-2.35
S: 0.0746 0.9254 0.7500  2 Cu 2.35
S: 0.2399 0.7601 0.1091  1 Cu 2.32
S: 0.2399 0.7601 0.3909  1 Cu 2.32
S: 0.5000 0.5000 0.0000  4 Np 2.81
S: 0.5000 0.5000 0.5000  4 Np 2.81
S: 0.7601 0.2399 0.6091  1 Cu 2.32
S: 0.7601 0.2399 0.8909  1 Cu 2.32
S: 0.9254 0.0746 0.2500  2 Cu 2.35


Entry 5:
The following is a DFT calculation (PBE-GGA) of a relaxed structure of TmNp2CuS5.

* SG: Cmc2_1, No. 36
* formation energy from raw total energies: -12.386 eV/f.u.
* size of the total moment: 15.88 μB/cell
* D(E_F): 16.690 states/eV/f.u.
* ρ: 8.03 Mg/m³

a b c (Å): 8.3128 8.3128 11.7000
angles (deg): 90.00 90.00 153.69
Last column: nearest neighbours and their distance in Å.
Element x y z (fractional)
Tm: 0.1816 0.8184 0.5000  6 S 2.67-2.72
Tm: 0.8184 0.1816 0.0000  6 S 2.67-2.72
Np: 0.1112 0.8888 0.8207  7 S 2.80-3.00
Np: 0.1173 0.8827 0.1663  8 S 2.82-3.00
Np: 0.8827 0.1173 0.6663  8 S 2.82-3.00
Np: 0.8888 0.1112 0.3207  7 S 2.80-3.00
Cu: 0.4479 0.5521 0.8986  4 S 2.25-2.34
Cu: 0.5521 0.4479 0.3986  4 S 2.25-2.34
S: 0.0144 0.9856 0.4933  2 Cu 2.28
S: 0.3023 0.6977 0.1621  2 Tm 2.69, 3 Np 3.00
S: 0.3113 0.6887 0.8334  1 Cu 2.34
S: 0.3464 0.6536 0.4932  1 Tm 2.67, 4 Np 2.83-2.85
S: 0.4953 0.5047 0.2234  1 Cu 2.25
S: 0.5047 0.4953 0.7234  1 Cu 2.25
S: 0.6536 0.3464 0.9932  1 Tm 2.67, 4 Np 2.83-2.85
S: 0.6887 0.3113 0.3334  1 Cu 2.34
S: 0.6977 0.3023 0.6621  2 Tm 2.69, 3 Np 3.00
S: 0.9856 0.0144 0.9933  2 Cu 2.28


Entry 6:
The following is a DFT calculation (PBE-GGA) of a relaxed structure of TmNpCuS4.

* SG: Imma, No. 74
* formation energy from raw total energies: -9.036 eV/f.u.
* size of the total moment: 6.00 μB/cell
* D(E_F): 9.025 states/eV/f.u.
* ρ: 6.19 Mg/m³

a b c (Å): 7.6749 7.6749 7.6749
angles (deg): 120.45 119.21 90.30
Last column: nearest neighbours and their distance in Å.
Element x y z (fractional)
Tm: 0.5000 0.0000 0.0000  6 S 2.70-2.71
Tm: 0.5000 0.5000 0.5000  6 S 2.70-2.71
Np: 0.0000 0.0000 0.0000  6 S 2.68-2.70
Np: 0.5000 0.0000 0.5000  6 S 2.68-2.70
Cu: 0.1208 0.3708 0.7500  4 S 2.38
Cu: 0.8792 0.6292 0.2500  4 S 2.38
S: 0.2499 0.2466 0.4968  1 Cu 2.38
S: 0.2499 0.7531 0.0032  1 Cu 2.38
S: 0.2506 0.2473 0.0034  1 Cu 2.38
S: 0.2561 0.7527 0.5034  1 Cu 2.38
S: 0.7439 0.2473 0.4966  1 Cu 2.38
S: 0.7494 0.7527 0.9966  1 Cu 2.38
S: 0.7501 0.2469 0.9968  1 Cu 2.38
S: 0.7501 0.7534 0.5032  1 Cu 2.38


Entry 7:
The following is a DFT calculation (PBE-GGA) of a relaxed structure of YNpCuS4.

* SG: Imma, No. 74
* formation energy from raw total energies: -8.999 eV/f.u.
* size of the total moment: 6.00 μB/cell
* D(E_F): 9.102 states/eV/f.u.
* ρ: 5.27 Mg/m³

a b c (Å): 7.7229 7.7229 7.7229
angles (deg): 120.29 119.45 90.22
Last column: nearest neighbours and their distance in Å.
Element x y z (fractional)
Y: 0.5000 0.0000 0.0000  6 S 2.74-2.75
Y: 0.5000 0.5000 0.5000  6 S 2.74-2.75
Np: 0.0000 0.0000 0.0000  6 S 2.68-2.71
Np: 0.5000 0.0000 0.5000  6 S 2.68-2.71
Cu: 0.1213 0.3713 0.7500  4 S 2.38-2.40
Cu: 0.8787 0.6287 0.2500  4 S 2.38-2.40
S: 0.2447 0.2455 0.9992  1 Cu 2.38
S: 0.2476 0.2426 0.4950  1 Cu 2.40
S: 0.2476 0.7527 0.0050  1 Cu 2.40
S: 0.2537 0.7545 0.4992  1 Cu 2.38
S: 0.7463 0.2455 0.5008  1 Cu 2.38
S: 0.7524 0.2473 0.9950  1 Cu 2.40
S: 0.7524 0.7574 0.5050  1 Cu 2.40
S: 0.7553 0.7545 0.0008  1 Cu 2.38


Entry 8:
The following is a DFT calculation (PBE-GGA) of a relaxed structure of ZrNp2CuS5.

* SG: Cmc2_1, No. 36
* formation energy from raw total energies: -11.302 eV/f.u.
* size of the total moment: 16.43 μB/cell
* D(E_F): 17.513 states/eV/f.u.
* ρ: 7.58 Mg/m³

a b c (Å): 8.1849 8.1849 11.5838
angles (deg): 90.00 90.00 153.55
Last column: nearest neighbours and their distance in Å.
Element x y z (fractional)
Zr: 0.1851 0.8149 0.5000  6 S 2.57-2.66
Zr: 0.8149 0.1851 0.0000  6 S 2.57-2.66
Np: 0.1163 0.8837 0.8187  8 S 2.78-3.11
Np: 0.1193 0.8807 0.1736  8 S 2.79-2.99
Np: 0.8807 0.1193 0.6736  8 S 2.79-2.99
Np: 0.8837 0.1163 0.3187  8 S 2.78-3.11
Cu: 0.4422 0.5578 0.9071  4 S 2.24-2.33
Cu: 0.5578 0.4422 0.4071  4 S 2.24-2.33
S: 0.0238 0.9762 0.5059  2 Cu 2.26
S: 0.3027 0.6973 0.1586  2 Zr 2.63, 3 Np 2.93
S: 0.3047 0.6953 0.8380  1 Cu 2.33
S: 0.3487 0.6513 0.4966  1 Zr 2.61, 4 Np 2.82-2.84
S: 0.4966 0.5034 0.2325  1 Cu 2.24
S: 0.5034 0.4966 0.7325  1 Cu 2.24
S: 0.6513 0.3487 0.9966  1 Zr 2.61, 4 Np 2.82-2.84
S: 0.6953 0.3047 0.3380  1 Cu 2.33
S: 0.6973 0.3027 0.6586  2 Zr 2.63, 3 Np 2.93
S: 0.9762 0.0238 0.0059  2 Cu 2.26


Entry 9:
The following is a DFT calculation (PBE-GGA) of a relaxed structure of NpCuSb2.

* SG: P4/mmm, No. 123
* formation energy from raw total energies: 0.416 eV/f.u.
* size of the total moment: 4.62 μB/cell
* D(E_F): 8.126 states/eV/f.u.
* ρ: 9.99 Mg/m³

a b c (Å): 3.7047 3.7047 6.5891
angles (deg): 90.00 90.00 90.00
Last column: nearest neighbours and their distance in Å.
Element x y z (fractional)
Np: 0.0000 0.0000 0.0000  8 Sb 3.21, 2 Cu 3.29
Cu: 0.0000 0.0000 0.5000  8 Sb 2.99, 2 Np 3.29
Sb: 0.5000 0.5000 0.2821  1 Sb 2.87, 4 Cu 2.99, 4 Np 3.21
Sb: 0.5000 0.5000 0.7179  1 Sb 2.87, 4 Cu 2.99, 4 Np 3.21


Entry 10:
The following is a DFT calculation (PBE-GGA) of a relaxed structure of NpCu4Sb.

* SG: F-43m, No. 216
* formation energy from raw total energies: 0.583 eV/f.u.
* size of the total moment: 4.36 μB/cell
* D(E_F): 9.136 states/eV/f.u.
* ρ: 10.22 Mg/m³

a b c (Å): 5.2021 5.2021 5.2021
angles (deg): 60.00 60.00 60.00
Last column: nearest neighbours and their distance in Å.
Element x y z (fractional)
Np: 0.0000 0.0000 0.0000  12 Cu 3.05, 4 Sb 3.19
Cu: 0.1231 0.6256 0.6256  6 Cu 2.59-2.61
Cu: 0.6256 0.1231 0.6256  6 Cu 2.59-2.61
Cu: 0.6256 0.6256 0.1231  6 Cu 2.59-2.61
Cu: 0.6256 0.6256 0.6256  6 Cu 2.59-2.61
Sb: 0.2500 0.2500 0.2500  12 Cu 3.05, 4 Np 3.19


Number 1: final energy -6.392 eV per atom. Number 2: final energy -5.405 eV per atom. Number 3: final energy -6.228 eV per atom. Number 4: final energy -7.124 eV per atom. Number 5: final energy -7.497 eV per atom. Number 6: final energy -6.722 eV per atom. Number 7: final energy -7.001 eV per atom. Number 8: final energy -7.829 eV per atom. Number 9: final energy -6.216 eV per atom. Number 10: final energy -5.477 eV per atom.